# 1
VASP calculation (SCAN) on ReNi2Rh at its PBEsol-relaxed geometry.

a = 2.6777 Å, b = 4.2954 Å, c = 4.3802 Å
α = 90.00°, β = 90.00°, γ = 90.00°
Fractional coordinates of all 4 atoms:
Ni 0.0000 0.0000 0.0000
Ni 0.5000 0.0000 0.5000
Re 0.5000 0.5000 0.0000
Rh 0.0000 0.5000 0.5000

Results
excess energy over the best structure of this formula in the dataset: 310 meV/atom
ΔE_f: 0.29 eV/atom

***

# 2
VASP calculation (SCAN) on ReNiRh2 at its PBEsol-relaxed geometry.

a = 4.2180 Å, b = 4.2180 Å, c = 4.2180 Å
α = 60.00°, β = 60.00°, γ = 60.00°
Fractional coordinates of all 4 atoms:
Rh 0.2500 0.2500 0.2500
Rh 0.7500 0.7500 0.7500
Re 0.5000 0.5000 0.5000
Ni 0.0000 0.0000 0.0000

Results
excess energy over the best structure of this formula in the dataset: 287 meV/atom
ΔE_f: 0.21 eV/atom

***

# 3
VASP calculation (SCAN) on ReNiRh2 at its PBEsol-relaxed geometry.

a = 4.2111 Å, b = 4.2111 Å, c = 4.2111 Å
α = 60.00°, β = 60.00°, γ = 60.00°
Fractional coordinates of all 4 atoms:
Rh 0.7500 0.7500 0.7500
Re 0.2500 0.2500 0.2500
Ni 0.5000 0.5000 0.5000
Rh 0.0000 0.0000 0.0000

Results
excess energy over the best structure of this formula in the dataset: 368 meV/atom
ΔE_f: 0.29 eV/atom

***

# 4
VASP calculation (SCAN) on ReNiRh2 at its PBEsol-relaxed geometry.

a = 2.6498 Å, b = 4.5503 Å, c = 4.5777 Å
α = 99.53°, β = 106.80°, γ = 90.01°
Fractional coordinates of all 4 atoms:
Rh 0.2498 0.2478 0.4990
Re 0.0000 0.5000 0.0000
Rh 0.7503 0.7522 0.5010
Ni 0.5000 0.0000 0.0000

Results
excess energy over the best structure of this formula in the dataset: 47 meV/atom
ΔE_f: -0.03 eV/atom

***

One value per record, in order, for total DFT energy (no corrections): -136.08 -153.96 -153.63 -154.92 eV for the cell shown.
One value per record, in order, for size of the total moment: 0.0 0.0 0.0 0.0 μB per formula unit.